A relaxed structure of KLi2Ga2. Source: the Alexandria database, functional PBE.

abc: 5.0625 5.0625 9.5007
angles: 90.00 90.00 90.00
Space group I4/mmm (No. 139)
Unique sites:
K  0.0000  0.0000  0.0000
Li  0.0000  0.5000  0.2500
Ga  0.0000  0.0000  0.3687

Output
M_tot, μB/atom: 0.000
Energy above the lowest structure with this stoichiometry, eV per atom: 0.055
ΔE_f, eV per atom: -0.05
Volume, Å³/atom: 24.35